Record 1
# Tl2ZnP

A geometry-optimized Tl2ZnP structure (PBE, Alexandria via LeMat-Bulk).

Unit cell a=3.491 b=3.491 c=8.098 alpha=90.00 beta=90.00 gamma=90.00
Element x y z (fractional)
Tl  0.000  0.000  0.955
Tl  0.500  0.500  0.297
Zn  0.000  0.000  0.591
P  0.500  0.500  0.657

Summary:
VASP energy ... -0.20005 Ry per atom
Mass density ... 8.50 g/cm3
Total magnetic moment ... 0.0 μB per cell
Space group ... No. 99

=====

Record 2
# KNiHg

A geometry-optimized KNiHg structure (PBE, Alexandria via LeMat-Bulk).

Unit cell a=4.428 b=4.428 c=5.039 alpha=90.00 beta=90.00 gamma=120.00
Element x y z (fractional)
Hg  0.000  0.000  0.833
K  0.667  0.333  0.333
Ni  0.333  0.667  0.833

Summary:
VASP energy ... -0.15854 Ry per atom
Mass density ... 5.79 g/cm3
Total magnetic moment ... 0.0 μB per cell
Space group ... No. 187

=====

Record 3
# V2Fe3H4

A geometry-optimized V2Fe3H4 structure (PBE, Alexandria via LeMat-Bulk).

Unit cell a=2.645 b=2.645 c=10.680 alpha=90.00 beta=90.00 gamma=120.00
Element x y z (fractional)
V  0.667  0.333  0.794
V  0.333  0.667  0.206
Fe  0.667  0.333  0.412
Fe  0.000  0.000  0.000
Fe  0.333  0.667  0.588
H  0.333  0.667  0.907
H  0.000  0.000  0.319
H  0.000  0.000  0.681
H  0.667  0.333  0.093

Summary:
VASP energy ... -0.47115 Ry per atom
Mass density ... 7.02 g/cm3
Total magnetic moment ... 0.7 μB per cell
Space group ... No. 164

=====

Record 4
# VHgH

A geometry-optimized VHgH structure (PBE, Alexandria via LeMat-Bulk).

Unit cell a=16.961 b=8.232 c=8.232 alpha=155.96 beta=164.18 gamma=15.82
Element x y z (fractional)
H  0.199  0.155  0.316
H  0.199  0.684  0.845
Hg  0.550  0.216  0.784
Hg  0.904  0.504  0.496
V  0.727  0.864  0.136
V  0.294  0.728  0.272

Summary:
VASP energy ... -0.30163 Ry per atom
Mass density ... 9.96 g/cm3
Total magnetic moment ... 0.0 μB per cell
Space group ... No. 8

=====

Record 5
# PrZn2Pd7

A geometry-optimized PrZn2Pd7 structure (PBE, Alexandria via LeMat-Bulk).

Unit cell a=4.569 b=7.214 c=7.214 alpha=119.55 beta=90.00 gamma=90.00
Element x y z (fractional)
Pr  0.000  0.000  0.000
Zn  0.500  0.700  0.300
Zn  0.500  0.300  0.700
Pd  0.000  0.777  0.223
Pd  0.000  0.223  0.777
Pd  0.500  0.067  0.308
Pd  0.500  0.933  0.692
Pd  0.500  0.308  0.067
Pd  0.500  0.692  0.933
Pd  0.500  0.500  0.500

Summary:
VASP energy ... -0.32892 Ry per atom
Mass density ... 8.16 g/cm3
Total magnetic moment ... 0.0 μB per cell
Space group ... No. 65

=====

Record 6
# FeAsSe

A geometry-optimized FeAsSe structure (PBE, Alexandria via LeMat-Bulk).

Unit cell a=3.338 b=3.338 c=5.564 alpha=90.00 beta=90.00 gamma=120.00
Element x y z (fractional)
As  0.000  0.000  0.068
Fe  0.667  0.333  0.337
Se  0.333  0.667  0.596

Summary:
VASP energy ... -0.41077 Ry per atom
Mass density ... 6.49 g/cm3
Formation energy from raw total energies ... -56.5 meV/atom
Total magnetic moment ... 1.7 μB per cell
Space group ... No. 156

=====

Record 7
# TeIr2

A geometry-optimized TeIr2 structure (PBE, Alexandria via LeMat-Bulk).

Unit cell a=8.806 b=8.806 c=4.030 alpha=90.00 beta=90.00 gamma=154.52
Element x y z (fractional)
Te  0.343  0.657  0.750
Te  0.657  0.343  0.250
Ir  0.558  0.442  0.750
Ir  0.948  0.052  0.750
Ir  0.052  0.948  0.250
Ir  0.442  0.558  0.250

Summary:
VASP energy ... -0.51064 Ry per atom
Mass density ... 12.65 g/cm3
Formation energy from raw total energies ... 7.0 meV/atom
Total magnetic moment ... 0.0 μB per cell
Space group ... No. 63

=====

Record 8
# Th3Cd2Hg4

A geometry-optimized Th3Cd2Hg4 structure (PBE, Alexandria via LeMat-Bulk).

Unit cell a=5.065 b=6.135 c=9.458 alpha=117.63 beta=90.00 gamma=114.38
Element x y z (fractional)
Th  0.664  0.329  0.670
Th  0.000  0.000  0.000
Th  0.336  0.671  0.330
Cd  0.613  0.227  0.280
Cd  0.387  0.773  0.720
Hg  0.707  0.413  0.043
Hg  0.293  0.587  0.957
Hg  0.932  0.864  0.601
Hg  0.068  0.136  0.399

Summary:
VASP energy ... -0.22421 Ry per atom
Mass density ... 12.42 g/cm3
Total magnetic moment ... 0.0 μB per cell
Space group ... No. 12

=====

Record 9
# CaNdIn2

A geometry-optimized CaNdIn2 structure (PBE, Alexandria via LeMat-Bulk).

Unit cell a=3.751 b=3.751 c=10.426 alpha=79.64 beta=79.64 gamma=60.00
Element x y z (fractional)
Ca  0.500  0.500  0.500
Nd  0.000  0.000  0.000
In  0.751  0.751  0.748
In  0.249  0.249  0.252

Summary:
VASP energy ... -0.24564 Ry per atom
Mass density ... 5.53 g/cm3
Total magnetic moment ... 0.0 μB per cell
Space group ... No. 166

=====

Record 10
# KLiTcN2

A geometry-optimized KLiTcN2 structure (PBE, Alexandria via LeMat-Bulk).

Unit cell a=3.460 b=5.976 c=7.738 alpha=100.74 beta=90.00 gamma=106.83
Element x y z (fractional)
K  0.357  0.713  0.366
K  0.643  0.287  0.634
Li  0.694  0.388  0.051
Li  0.306  0.612  0.949
Tc  0.054  0.107  0.160
Tc  0.946  0.893  0.840
N  0.402  0.804  0.736
N  0.598  0.196  0.264
N  0.120  0.241  0.935
N  0.880  0.759  0.065

Summary:
VASP energy ... -0.45928 Ry per atom
Mass density ... 3.80 g/cm3
Formation energy from raw total energies ... -243.2 meV/atom
Total magnetic moment ... 0.2 μB per cell
Space group ... No. 12

=====

Record 11
# NbCdP2Cl

A geometry-optimized NbCdP2Cl structure (PBE, Alexandria via LeMat-Bulk).

Unit cell a=4.869 b=4.869 c=4.940 alpha=90.00 beta=90.00 gamma=90.00
Element x y z (fractional)
P  0.000  0.500  0.000
P  0.500  0.000  0.000
Nb  0.500  0.500  0.500
Cl  0.000  0.000  0.500
Cd  0.000  0.000  0.000

Summary:
VASP energy ... -0.25724 Ry per atom
Mass density ... 4.29 g/cm3
Formation energy from raw total energies ... 1230.3 meV/atom
Total magnetic moment ... 0.1 μB per cell
Space group ... No. 123

=====

Record 12
# Cd3In2Te6

A geometry-optimized Cd3In2Te6 structure (PBE, Alexandria via LeMat-Bulk).

Unit cell a=7.948 b=7.948 c=9.128 alpha=72.64 beta=72.64 gamma=47.69
Element x y z (fractional)
Cd  0.988  0.330  0.681
Cd  0.368  0.632  0.500
Cd  0.670  0.012  0.319
In  0.988  0.344  0.161
In  0.656  0.012  0.839
Te  0.262  0.042  0.929
Te  0.554  0.440  0.781
Te  0.915  0.753  0.583
Te  0.247  0.085  0.417
Te  0.560  0.446  0.219
Te  0.958  0.738  0.071

Summary:
VASP energy ... -0.21035 Ry per atom
Mass density ... 5.49 g/cm3
Formation energy from raw total energies ... -400.8 meV/atom
Total magnetic moment ... 0.0 μB per cell
Space group ... No. 5

=====

Record 13
# LaReRu2

A geometry-optimized LaReRu2 structure (PBE, Alexandria via LeMat-Bulk).

Unit cell a=10.001 b=10.001 c=10.001 alpha=16.40 beta=16.40 gamma=16.40
Element x y z (fractional)
La  0.501  0.501  0.501
Re  0.737  0.737  0.737
Ru  0.000  0.000  0.000
Ru  0.262  0.262  0.262

Summary:
VASP energy ... -0.61676 Ry per atom
Mass density ... 12.59 g/cm3
Total magnetic moment ... 0.2 μB per cell
Space group ... No. 160

=====

Record 14
# RhPbO2

A geometry-optimized RhPbO2 structure (PBE, Alexandria via LeMat-Bulk).

Unit cell a=4.692 b=4.692 c=6.912 alpha=70.16 beta=70.16 gamma=90.00
Element x y z (fractional)
Pb  0.000  0.000  0.000
Pb  0.750  0.250  0.500
Rh  0.500  0.500  0.000
Rh  0.250  0.750  0.500
O  0.536  0.125  0.250
O  0.214  0.625  0.250
O  0.375  0.464  0.750
O  0.875  0.786  0.750

Summary:
VASP energy ... -0.41324 Ry per atom
Mass density ... 8.51 g/cm3
Formation energy from raw total energies ... -378.3 meV/atom
Total magnetic moment ... 0.0 μB per cell
Space group ... No. 122

=====

Record 15
# LiPuCoOs

A geometry-optimized LiPuCoOs structure (PBE, Alexandria via LeMat-Bulk).

Unit cell a=4.425 b=4.425 c=4.425 alpha=60.00 beta=60.00 gamma=60.00
Element x y z (fractional)
Co  0.500  0.500  0.500
Li  0.750  0.750  0.750
Os  0.000  0.000  0.000
Pu  0.250  0.250  0.250

Summary:
VASP energy ... -0.62422 Ry per atom
Mass density ... 13.55 g/cm3
Total magnetic moment ... 3.3 μB per cell
Space group ... No. 216

=====

Record 16
# Ag2IrF5

A geometry-optimized Ag2IrF5 structure (PBE, Alexandria via LeMat-Bulk).

Unit cell a=4.072 b=6.426 c=11.573 alpha=90.00 beta=90.00 gamma=108.47
Element x y z (fractional)
Ag  0.861  0.721  0.431
Ag  0.861  0.721  0.069
Ag  0.139  0.279  0.569
Ag  0.139  0.279  0.931
Ir  0.842  0.684  0.750
Ir  0.158  0.316  0.250
F  0.952  0.903  0.881
F  0.952  0.903  0.619
F  0.270  0.539  0.382
F  0.270  0.539  0.118
F  0.685  0.369  0.250
F  0.315  0.631  0.750
F  0.730  0.461  0.618
F  0.730  0.461  0.882
F  0.048  0.097  0.119
F  0.048  0.097  0.381

Summary:
VASP energy ... -0.30193 Ry per atom
Mass density ... 5.82 g/cm3
Formation energy from raw total energies ... -1117.9 meV/atom
Total magnetic moment ... 0.0 μB per cell
Space group ... No. 63

=====

Record 17
# Sr3LiNb

A geometry-optimized Sr3LiNb structure (PBE, Alexandria via LeMat-Bulk).

Unit cell a=5.981 b=5.981 c=5.981 alpha=90.00 beta=90.00 gamma=90.00
Element x y z (fractional)
Sr  0.000  0.500  0.000
Sr  0.000  0.000  0.500
Sr  0.500  0.000  0.000
Nb  0.000  0.000  0.000
Li  0.500  0.500  0.500

Summary:
VASP energy ... -0.19001 Ry per atom
Mass density ... 2.81 g/cm3
Total magnetic moment ... 0.0 μB per cell
Space group ... No. 221

=====

Record 18
# RbMgAsPb

A geometry-optimized RbMgAsPb structure (PBE, Alexandria via LeMat-Bulk).

Unit cell a=4.454 b=4.454 c=14.198 alpha=90.00 beta=90.00 gamma=90.00
Element x y z (fractional)
Rb  0.750  0.750  0.231
Rb  0.250  0.250  0.769
Mg  0.750  0.250  0.000
Mg  0.250  0.750  0.000
As  0.750  0.750  0.891
As  0.250  0.250  0.109
Pb  0.250  0.750  0.500
Pb  0.750  0.250  0.500

Summary:
VASP energy ... -0.22873 Ry per atom
Mass density ... 4.62 g/cm3
Total magnetic moment ... 0.0 μB per cell
Space group ... No. 129

=====

Record 19
# HoAl2Hg

A geometry-optimized HoAl2Hg structure (PBE, Alexandria via LeMat-Bulk).

Unit cell a=4.300 b=4.383 c=4.383 alpha=90.00 beta=90.00 gamma=90.00
Element x y z (fractional)
Al  0.000  0.000  0.500
Al  0.000  0.500  0.000
Hg  0.500  0.000  0.000
Ho  0.500  0.500  0.500

Summary:
VASP energy ... -0.25194 Ry per atom
Mass density ... 8.43 g/cm3
Total magnetic moment ... 0.0 μB per cell
Space group ... No. 123

=====

Record 20
# Sc2BN

A geometry-optimized Sc2BN structure (PBE, Alexandria via LeMat-Bulk).

Unit cell a=5.901 b=5.901 c=5.353 alpha=56.55 beta=56.55 gamma=90.00
Element x y z (fractional)
Sc  0.665  0.125  0.250
Sc  0.085  0.625  0.250
Sc  0.375  0.335  0.750
Sc  0.875  0.915  0.750
B  0.500  0.500  0.000
B  0.250  0.750  0.500
N  0.000  0.000  0.000
N  0.750  0.250  0.500

Summary:
VASP energy ... -0.54667 Ry per atom
Mass density ... 3.26 g/cm3
Formation energy from raw total energies ... -521.4 meV/atom
Total magnetic moment ... 0.0 μB per cell
Space group ... No. 122